! GGA-PBE BaHg3P, relaxed; values from VASP
&SYSTEM
  ibrav = 0, nat = 5, ntyp = 3
/
ATOMIC_SPECIES
Ba 137.33 Ba.upf
P 30.97 P.upf
Hg 200.59 Hg.upf
CELL_PARAMETERS angstrom
5.314 0.000 0.000
0.000 5.314 0.000
0.000 0.000 5.314
ATOMIC_POSITIONS crystal
Ba 0.500 0.500 0.500
P 0.000 0.000 0.000
Hg 0.500 0.000 0.000
Hg 0.000 0.000 0.500
Hg 0.000 0.500 0.000
! E above lowest polymorph	0.000	eV per atom
! calculated volume	30.02	Å³/atom
! formation energy from the elements	-56	meV per atom
! uncorrected energy	-1.704	eV/atom
! size of the total moment	0.000	μB per formula unit
! D(E_F)	5.10	states/eV per cell